8
Lattice="5.993 0.000 0.000 0.000 6.978 0.000 0.000 0.000 4.073" Properties=species:S:1:pos:R:3 comment="LaReCl2, relaxed, DFT PBE" formation_energy_uncorrected_ev_per_atom=-0.288 crystal_system=orthorhombic volume_a3_per_atom=21.3 e_above_lowest_polymorph_mev_per_atom=182 space_group="Cmmm (65)" pbc="T T T"
La 0.000 0.000 0.000
La 2.996 3.489 0.000
Re 0.000 3.489 0.000
Re 2.996 0.000 0.000
Cl 0.000 2.076 2.037
Cl 0.000 4.902 2.037
Cl 2.996 1.413 2.037
Cl 2.996 5.565 2.037